# 1
Tl5Sn7 | Alexandria via LeMat-Bulk | GGA-PBE | relaxed; total magnetic moment = 0.000 μB/atom; Fermi-level density of states = 0.376 states/eV/atom; theoretical density = 8.738 g cm⁻³; formation enthalpy at 0 K = 0.02 eV/atom; volume = 352.1 Å³/f.u.
1.0
3.416 0.000 0.002
0.000 9.814 0.000
0.006 0.000 10.502
Tl Sn
5 7
Direct
0.000 0.996 0.840 Tl
0.000 0.996 0.160 Tl
0.500 0.246 0.669 Tl
0.500 0.246 0.331 Tl
0.000 0.507 0.500 Tl
0.000 0.508 0.837 Sn
0.500 0.754 0.336 Sn
0.000 0.508 0.163 Sn
0.000 0.975 0.500 Sn
0.500 0.277 0.000 Sn
0.500 0.733 0.000 Sn
0.500 0.754 0.664 Sn

# 2
Tl4Sn | Alexandria via LeMat-Bulk | GGA-PBE | relaxed; total magnetic moment = 0.000 μB/atom; relative energy among the computed polymorphs = 0.09 eV/f.u.; Fermi-level density of states = 0.564 states/eV/atom; theoretical density = 9.924 g cm⁻³; formation enthalpy at 0 K = 0.04 eV/atom; volume = 156.7 Å³/f.u.
1.0
8.994 0.633 0.000
3.888 4.707 0.000
4.497 0.317 7.858
Sn Tl
2 8
Direct
0.002 0.750 0.997 Sn
0.998 0.250 0.003 Sn
0.709 0.887 0.809 Tl
0.060 0.132 0.621 Tl
0.940 0.868 0.379 Tl
0.291 0.113 0.191 Tl
0.483 0.613 0.809 Tl
0.319 0.368 0.621 Tl
0.681 0.632 0.379 Tl
0.517 0.387 0.191 Tl